Record 1
YTa2Cu: relaxed, PBE.

Output
energy relative to the elements: 2.4 eV/f.u.

```
8
Lattice="-1.968 1.968 10.538 1.968 -1.968 10.538 1.968 1.968 -10.538" Properties=species:S:1:pos:R:3 pbc="T T T"
Y 0.000 0.000 0.000
Y 0.000 1.968 5.269
Ta 0.984 1.010 -2.634
Ta 2.925 0.984 2.634
Ta 0.984 0.958 7.903
Ta -0.958 0.984 13.172
Cu 1.968 0.000 5.269
Cu 0.000 0.000 10.538
```

=====

Record 2
RbSr: relaxed, PBE.

Output
energy relative to the elements: 0.3 eV/f.u.

```
12
Lattice="12.462 0.000 0.000 -6.231 10.792 0.000 0.000 0.000 6.977" Properties=species:S:1:pos:R:3 pbc="T T T"
Rb -1.713 5.148 1.744
Rb -0.916 9.701 1.744
Rb 3.602 4.057 5.233
Rb 2.629 6.735 1.744
Rb 7.147 1.091 5.233
Rb 7.943 5.644 5.233
Sr -0.681 2.294 5.233
Sr -3.904 10.235 5.233
Sr 1.646 1.737 1.744
Sr 4.585 9.055 5.233
Sr 10.134 0.557 1.744
Sr 6.912 8.498 1.744
```

=====

Record 3
NaTbAs2O8: relaxed, PBE.

Output
raw formation energy: -1.60 eV/atom

```
12
Lattice="-2.560 2.560 5.760 2.560 -2.560 5.760 2.560 2.560 -5.760" Properties=species:S:1:pos:R:3 pbc="T T T"
Na 0.000 0.000 0.000
Tb 0.000 2.560 2.880
As 2.560 0.000 2.880
As 0.000 0.000 5.760
O 3.837 -0.759 1.999
O 1.801 -1.277 3.761
O 1.889 1.286 -0.957
O 1.283 0.759 1.999
O 1.274 -0.671 6.717
O 3.319 1.277 3.761
O 0.671 1.274 4.803
O 1.286 3.231 0.957
```

=====

Record 4
Tm3Mg7Cd2: relaxed, PBE.

Output
energy relative to the elements: -0.6 eV/f.u.

```
12
Lattice="5.111 0.000 0.000 0.000 3.550 0.000 -2.554 0.000 16.408" Properties=species:S:1:pos:R:3 pbc="T T T"
Tm 0.000 0.000 0.000
Tm -0.003 1.775 10.524
Tm 2.560 1.775 5.884
Mg 0.054 1.775 2.574
Mg 0.002 0.000 7.586
Mg -0.048 0.000 13.677
Mg 2.555 1.775 0.000
Mg 2.605 0.000 2.731
Mg 2.555 0.000 8.822
Mg 2.502 1.775 13.834
Cd 0.006 0.000 4.791
Cd 2.551 0.000 11.617
```

=====

no.,total magnetization (μB/cell),calculated volume (A^3/atom)
1,0.00,20.4
2,0.45,78.2
3,2.03,12.6
4,0.00,24.8